VASP calculation (PBE) on a relaxed structure of TaP2Cl.

The structure in CIF format:
```
data_TaP2Cl
_symmetry_space_group_name_H-M 'I m m 2'
_symmetry_Int_Tables_number 44
_cell_length_a 3.0022
_cell_length_b 5.4449
_cell_length_c 8.6367
_cell_angle_alpha 90.00
_cell_angle_beta 90.00
_cell_angle_gamma 90.00
loop_
_symmetry_equiv_pos_as_xyz
'x,y,z'
'-x,-y,z'
'-x,y,z'
'x,-y,z'
'x+1/2,y+1/2,z+1/2'
'-x+1/2,-y+1/2,z+1/2'
'-x+1/2,y+1/2,z+1/2'
'x+1/2,-y+1/2,z+1/2'
loop_
_atom_site_label
_atom_site_type_symbol
_atom_site_fract_x
_atom_site_fract_y
_atom_site_fract_z
Ta1 Ta 0.0000 0.0000 0.0000
P1 P 0.0000 0.0000 0.4404
P2 P 0.0000 0.5000 0.7438
Cl1 Cl 0.0000 0.5000 0.2767
```

## Properties
D(E_F)	0.390	states/eV per atom
M_tot	0.00	Bohr magnetons per cell
polymorph energy (0 for the lowest one)	0.656	eV per atom